First-principles (PBE) data for a relaxed structure of LiPmHoAu, as listed in Alexandria via LeMat-Bulk.

Properties
Mass density: 8.77 g cm⁻³
Total moment: 0.0 μB/f.u.
Total energy: -16.02 eV/cell

Geometry as POSCAR:
```
LiPmHoAu
1.0
5.163 0.000 0.000
2.581 4.471 0.000
2.581 1.490 4.215
Pm Li Ho Au
1 1 1 1
direct
0.250 0.250 0.250
0.500 0.500 0.500
0.750 0.750 0.750
0.000 0.000 0.000
```

First-principles (PBE) data for a relaxed structure of PtPb5, as listed in Alexandria via LeMat-Bulk.

Properties
Mass density: 10.55 g cm⁻³
E above lowest polymorph: 594.6 meV/atom
Total moment: 0.0 μB/f.u.
Total energy: -21.31 eV/cell

Geometry as POSCAR:
```
PtPb5
1.0
4.782 3.398 -1.571
-5.355 0.843 -2.738
-1.515 4.085 4.222
Pt Pb
1 5
direct
0.000 0.000 0.000
0.500 0.000 0.500
0.667 0.333 0.000
0.500 0.500 0.500
0.000 0.500 0.500
0.333 0.667 0.000
```

First-principles (PBE) data for a relaxed structure of Dy3Ho, as listed in Alexandria via LeMat-Bulk.

Properties
Mass density: 8.72 g cm⁻³
E above lowest polymorph: 12.4 meV/atom
Total moment: 0.0 μB/f.u.
Total energy: -18.31 eV/cell

Geometry as POSCAR:
```
Dy3Ho
1.0
4.988 0.000 0.000
0.000 4.988 0.000
-2.494 -2.494 4.995
Dy Ho
3 1
direct
0.250 0.750 0.500
0.750 0.250 0.500
0.500 0.500 0.000
0.000 0.000 0.000
```

First-principles (PBE) data for a relaxed structure of Cr2SiAgHg, as listed in Alexandria via LeMat-Bulk.

Properties
Mass density: 5.73 g cm⁻³
Formation energy from raw total energies: 6.97 eV/f.u.
Total moment: 8.6 μB/f.u.
Total energy: -20.86 eV/cell

Geometry as POSCAR:
```
Cr2SiAgHg
1.0
-4.583 1.153 1.670
1.350 -1.424 4.687
1.532 4.671 0.978
Hg Ag Si Cr
1 1 1 2
direct
0.000 0.500 0.000
0.000 0.000 0.000
0.500 0.500 0.500
0.500 0.000 0.000
0.000 0.000 0.500
```

First-principles (PBE) data for a relaxed structure of GeRuSN2, as listed in Alexandria via LeMat-Bulk.

Properties
Mass density: 5.21 g cm⁻³
E above lowest polymorph: 0.0 meV/atom
Formation energy from raw total energies: 3.68 eV/f.u.
Total moment: 0.2 μB/f.u.
Total energy: -30.99 eV/cell

Geometry as POSCAR:
```
GeRuSN2
1.0
3.815 0.000 0.000
0.000 3.815 0.000
0.000 0.000 5.115
S N Ge Ru
1 2 1 1
direct
0.000 0.000 0.500
0.500 0.000 0.000
0.000 0.500 0.000
0.500 0.500 0.500
0.000 0.000 0.000
```

First-principles (PBE) data for a relaxed structure of Tb2ZnGe3Pd4, as listed in Alexandria via LeMat-Bulk.

Properties
Mass density: 9.16 g cm⁻³
Total moment: 0.0 μB/f.u.
Total energy: -52.84 eV/cell

Geometry as POSCAR:
```
Tb2ZnGe3Pd4
1.0
-0.729 -2.392 3.425
-1.462 -3.111 -2.484
9.550 -3.924 -0.709
Pd Zn Tb Ge
4 1 2 3
direct
0.000 0.500 0.367
0.000 0.000 0.000
0.500 0.000 0.633
0.500 0.500 0.000
0.500 0.500 0.500
0.000 0.500 0.749
0.500 0.000 0.251
0.000 0.500 0.133
0.000 0.000 0.500
0.500 0.000 0.867
```

First-principles (PBE) data for a relaxed structure of Ba2TlSeO6, as listed in Alexandria via LeMat-Bulk.

Properties
Mass density: 7.20 g cm⁻³
Formation energy from raw total energies: -15.58 eV/f.u.
Total moment: 0.0 μB/f.u.
Total energy: -55.02 eV/cell

Geometry as POSCAR:
```
Ba2TlSeO6
1.0
-2.813 5.261 0.247
-1.820 -0.708 -5.643
-5.819 0.341 -1.327
Tl O Ba Se
1 6 2 1
direct
0.000 0.000 0.000
0.277 0.724 0.000
0.276 0.276 0.000
0.723 0.276 0.000
0.277 0.277 0.446
0.723 0.723 0.554
0.724 0.724 0.000
0.750 0.250 0.500
0.250 0.750 0.500
0.500 0.500 0.000
```

First-principles (PBE) data for a relaxed structure of TlCo2Cu, as listed in Alexandria via LeMat-Bulk.

Properties
Mass density: 9.99 g cm⁻³
E above lowest polymorph: 284.9 meV/atom
Total moment: 3.0 μB/f.u.
Total energy: -36.10 eV/cell

Geometry as POSCAR:
```
TlCo2Cu
1.0
-1.125 -1.492 3.271
3.447 -1.423 0.536
3.616 6.106 6.198
Tl Co Cu
2 4 2
direct
0.000 0.000 0.000
0.750 0.250 0.500
0.550 0.125 0.250
0.375 0.450 0.750
0.875 0.800 0.750
0.200 0.625 0.250
0.250 0.750 0.500
0.500 0.500 0.000
```

First-principles (PBE) data for a relaxed structure of Ta2AlFe2Co5, as listed in Alexandria via LeMat-Bulk.

Properties
Mass density: 10.50 g cm⁻³
Total moment: 4.6 μB/f.u.
Total energy: -161.71 eV/cell

Geometry as POSCAR:
```
Ta2AlFe2Co5
1.0
-0.833 -1.835 -3.066
7.802 -2.737 -0.481
-2.046 -6.628 4.524
Fe Co Ta Al
4 10 4 2
direct
0.000 0.629 0.871
0.000 0.371 0.129
0.000 0.129 0.629
0.000 0.871 0.371
0.500 0.569 0.704
0.500 0.000 0.500
0.500 0.431 0.296
0.500 0.500 0.000
0.500 0.296 0.569
0.500 0.069 0.796
0.500 0.796 0.931
0.500 0.204 0.069
0.500 0.931 0.204
0.500 0.704 0.431
0.000 0.831 0.669
0.000 0.169 0.331
0.000 0.669 0.169
0.000 0.331 0.831
0.000 0.000 0.000
0.000 0.500 0.500
```

First-principles (PBE) data for a relaxed structure of Ti3Sn, as listed in Alexandria via LeMat-Bulk.

Properties
Mass density: 6.07 g cm⁻³
Total moment: 0.0 μB/f.u.
Total energy: -57.79 eV/cell

Geometry as POSCAR:
```
Ti3Sn
1.0
-5.929 -0.817 0.144
3.644 -2.168 4.227
-0.493 4.010 2.482
Sn Ti
2 6
direct
0.333 0.667 0.250
0.667 0.333 0.750
0.824 0.176 0.250
0.685 0.832 0.750
0.832 0.685 0.250
0.176 0.824 0.750
0.315 0.168 0.250
0.168 0.315 0.750
```

First-principles (PBE) data for a relaxed structure of Ta2ZnCo, as listed in Alexandria via LeMat-Bulk.

Properties
Mass density: 13.33 g cm⁻³
Total moment: 0.7 μB/f.u.
Total energy: -32.03 eV/cell

Geometry as POSCAR:
```
Ta2ZnCo
1.0
3.837 0.000 0.000
0.000 3.972 0.000
0.000 0.000 3.972
Ta Co Zn
2 1 1
direct
0.000 0.500 0.500
0.000 0.000 0.000
0.500 0.000 0.500
0.500 0.500 0.000
```

First-principles (PBE) data for a relaxed structure of Ni2Ir3Rh5, as listed in Alexandria via LeMat-Bulk.

Properties
Mass density: 13.48 g cm⁻³
Total moment: 0.0 μB/f.u.
Total energy: -143.39 eV/cell

Geometry as POSCAR:
```
Ni2Ir3Rh5
1.0
7.838 -1.343 -2.366
-2.376 6.675 -2.145
-1.029 -0.621 6.734
Rh Ir Ni
10 6 4
direct
0.072 0.437 0.260
0.992 0.742 0.485
0.008 0.258 0.515
0.250 0.500 0.001
0.928 0.563 0.740
0.503 0.253 0.506
0.688 0.823 0.260
0.312 0.177 0.740
0.750 0.500 0.999
0.497 0.747 0.494
0.253 0.003 0.006
0.747 0.997 0.994
0.806 0.190 0.740
0.194 0.810 0.260
0.566 0.451 0.260
0.434 0.549 0.740
0.641 0.156 0.254
0.359 0.844 0.746
0.888 0.902 0.746
0.112 0.098 0.254
```

First-principles (PBE) data for a relaxed structure of YZn4Ru, as listed in Alexandria via LeMat-Bulk.

Properties
Mass density: 7.85 g cm⁻³
Total moment: 0.0 μB/f.u.
Total energy: -22.55 eV/cell

Geometry as POSCAR:
```
YZn4Ru
1.0
5.130 0.000 0.000
2.565 4.443 0.000
2.565 1.481 4.189
Ru Zn Y
1 4 1
direct
0.750 0.750 0.750
0.870 0.377 0.377
0.377 0.377 0.377
0.377 0.377 0.870
0.377 0.870 0.377
0.000 0.000 0.000
```

First-principles (PBE) data for a relaxed structure of PmYTl6, as listed in Alexandria via LeMat-Bulk.

Properties
Mass density: 10.99 g cm⁻³
Total moment: 0.0 μB/f.u.
Total energy: -27.65 eV/cell

Geometry as POSCAR:
```
PmYTl6
1.0
-1.639 -1.409 -4.284
1.683 -4.420 0.810
-8.359 -2.450 4.005
Tl Y Pm
6 1 1
direct
0.500 0.500 0.500
0.500 0.500 0.000
0.500 0.000 0.252
0.500 0.000 0.748
0.000 0.500 0.252
0.000 0.500 0.748
0.000 0.000 0.500
0.000 0.000 0.000
```

First-principles (PBE) data for a relaxed structure of BaAlAs3, as listed in Alexandria via LeMat-Bulk.

Properties
Mass density: 5.03 g cm⁻³
E above lowest polymorph: 0.0 meV/atom
Total moment: 0.0 μB/f.u.
Total energy: -21.01 eV/cell

Geometry as POSCAR:
```
BaAlAs3
1.0
-3.271 -2.501 2.916
0.387 -4.025 -3.017
3.822 -1.732 2.801
Al As Ba
1 3 1
direct
0.000 0.000 0.000
0.000 0.500 0.000
0.500 0.000 0.000
0.000 0.000 0.500
0.500 0.500 0.500
```

First-principles (PBE) data for a relaxed structure of Tc2Mo, as listed in Alexandria via LeMat-Bulk.

Properties
Mass density: 10.67 g cm⁻³
E above lowest polymorph: 1.7 meV/atom
Total moment: 0.0 μB/f.u.
Total energy: -124.92 eV/cell

Geometry as POSCAR:
```
Tc2Mo
1.0
-4.883 1.359 1.967
-1.596 -0.047 -3.929
-1.793 -7.631 0.820
Tc Mo
8 4
direct
0.832 0.750 0.432
0.466 0.750 0.734
0.668 0.250 0.932
0.034 0.250 0.234
0.168 0.250 0.568
0.966 0.750 0.766
0.332 0.750 0.068
0.534 0.250 0.266
0.173 0.250 0.904
0.827 0.750 0.096
0.327 0.750 0.404
0.673 0.250 0.596
```

First-principles (PBE) data for a relaxed structure of GdPt2Rh, as listed in Alexandria via LeMat-Bulk.

Properties
Mass density: 15.47 g cm⁻³
Total moment: 7.1 μB/f.u.
Total energy: -36.70 eV/cell

Geometry as POSCAR:
```
GdPt2Rh
1.0
-0.047 4.072 0.860
-4.060 0.067 -0.538
-0.540 -0.844 3.971
Gd Rh Pt
1 1 2
direct
0.500 0.500 0.500
0.500 0.000 0.000
0.000 0.500 0.000
0.000 0.000 0.500
```

First-principles (PBE) data for a relaxed structure of LaPm6SmEr2, as listed in Alexandria via LeMat-Bulk.

Properties
Mass density: 7.23 g cm⁻³
Total moment: 0.0 μB/f.u.
Total energy: -92.25 eV/cell

Geometry as POSCAR:
```
LaPm6SmEr2
1.0
9.272 -2.066 -2.144
0.831 8.669 -1.982
0.831 -2.302 8.590
Pm Er Sm La
12 4 2 2
direct
0.380 0.513 0.295
0.680 0.019 0.564
0.320 0.981 0.436
0.556 0.759 0.109
0.444 0.241 0.891
0.620 0.487 0.705
0.056 0.109 0.759
0.120 0.705 0.487
0.820 0.436 0.981
0.944 0.891 0.241
0.880 0.295 0.513
0.180 0.564 0.019
0.452 0.804 0.706
0.548 0.196 0.294
0.048 0.294 0.196
0.952 0.706 0.804
0.250 0.968 0.032
0.750 0.032 0.968
0.250 0.406 0.594
0.750 0.594 0.406
```

First-principles (PBE) data for a relaxed structure of In2FeMo, as listed in Alexandria via LeMat-Bulk.

Properties
Mass density: 9.05 g cm⁻³
E above lowest polymorph: 172.2 meV/atom
Total moment: 2.2 μB/f.u.
Total energy: -23.12 eV/cell

Geometry as POSCAR:
```
In2FeMo
1.0
-0.058 -2.408 -1.580
2.811 0.294 -0.552
1.825 -4.549 6.867
Fe Mo In
1 1 2
direct
0.500 0.500 0.750
0.500 0.500 0.250
0.000 0.000 0.514
0.000 0.000 0.986
```

First-principles (PBE) data for a relaxed structure of RbTi2NiW, as listed in Alexandria via LeMat-Bulk.

Properties
Mass density: 6.44 g cm⁻³
Total moment: 1.0 μB/f.u.
Total energy: -29.31 eV/cell

Geometry as POSCAR:
```
RbTi2NiW
1.0
4.803 0.000 0.000
0.000 4.736 0.000
0.000 0.000 4.803
Rb Ni Ti W
1 1 2 1
direct
0.500 0.500 0.500
0.000 0.000 0.000
0.000 0.000 0.500
0.500 0.000 0.000
0.000 0.500 0.000
```